Compound: Ce2PdAu
Source: the Alexandria database
Functional: GGA-PBE
Structure: relaxed

## Properties
- formation energy (eV/atom) = -0.63
- density (g cm⁻³) = 10.479
- V (Å³ per atom) = 23.120
- magnetization (μB per atom) = 0.34

Cell: 7.244 6.223 6.223 Å, 73.23 54.40 54.40°
Fractional positions:
Ce1 0.209 0.291 0.791
Ce2 0.791 0.709 0.209
Ce3 0.291 0.709 0.209
Ce4 0.709 0.291 0.791
Au1 0.250 0.205 0.295
Au2 0.750 0.795 0.705
Pd1 0.750 0.202 0.298
Pd2 0.250 0.798 0.702